(1)
Compound: Ca2SiCl2O3
Source: the Alexandria database
Functional: GGA-PBE
Structure: relaxed

Calculated values
space-group type: I4/m, No. 87
crystal system: tetragonal
raw formation energy: -2776 meV per atom
DFT total energy: -50.20 eV per formula unit

a = 8.9891 Å, b = 8.9891 Å, c = 8.9891 Å
α = 106.19°, β = 106.19°, γ = 116.26°
Atoms (fractional coordinates):
Ca 0.0180 0.8460 0.3326
Ca 0.1540 0.4866 0.1720
Ca 0.3146 0.9820 0.8280
Ca 0.4866 0.3146 0.3326
Ca 0.5134 0.6854 0.6674
Ca 0.6854 0.0180 0.1720
Ca 0.8460 0.5134 0.8280
Ca 0.9820 0.1540 0.6674
Si 0.3125 0.6041 0.9165
Si 0.3959 0.3125 0.7084
Si 0.6041 0.6875 0.2916
Si 0.6875 0.3959 0.0835
Cl 0.0744 0.2597 0.3341
Cl 0.2117 0.2117 0.0000
Cl 0.2500 0.7500 0.5000
Cl 0.2597 0.9256 0.1853
Cl 0.7403 0.0744 0.8147
Cl 0.7500 0.2500 0.5000
Cl 0.7883 0.7883 0.0000
Cl 0.9256 0.7403 0.6659
O 0.1003 0.4881 0.8890
O 0.2113 0.1003 0.6121
O 0.3266 0.4505 0.7771
O 0.4009 0.7887 0.8890
O 0.4505 0.6734 0.1239
O 0.4881 0.5991 0.3879
O 0.5119 0.4009 0.6121
O 0.5495 0.3266 0.8761
O 0.5991 0.2113 0.1110
O 0.6734 0.5495 0.2229
O 0.7887 0.8997 0.3879
O 0.8997 0.5119 0.1110

(2)
Compound: Ca2SnCl2O2
Source: the Alexandria database
Functional: GGA-PBE
Structure: relaxed

Calculated values
space-group type: I4/mmm, No. 139
crystal system: tetragonal
raw formation energy: -1797 meV per atom
DFT total energy: -34.19 eV per formula unit

a = 4.4839 Å, b = 4.4839 Å, c = 14.6193 Å
α = 90.00°, β = 90.00°, γ = 90.00°
Atoms (fractional coordinates):
Ca 0.0000 0.0000 0.1091
Ca 0.0000 0.0000 0.8909
Ca 0.5000 0.5000 0.3909
Ca 0.5000 0.5000 0.6091
Sn 0.0000 0.0000 0.5000
Sn 0.5000 0.5000 0.0000
Cl 0.0000 0.0000 0.2978
Cl 0.0000 0.0000 0.7022
Cl 0.5000 0.5000 0.2022
Cl 0.5000 0.5000 0.7978
O 0.0000 0.5000 0.0000
O 0.0000 0.5000 0.5000
O 0.5000 0.0000 0.0000
O 0.5000 0.0000 0.5000

(3)
Compound: CaTeClO2
Source: the Alexandria database
Functional: GGA-PBE
Structure: relaxed

Calculated values
space-group type: P2_1/m, No. 11
crystal system: monoclinic
raw formation energy: -1680 meV per atom
DFT total energy: -25.31 eV per formula unit

a = 6.4463 Å, b = 4.4433 Å, c = 7.4366 Å
α = 90.00°, β = 106.77°, γ = 90.00°
Atoms (fractional coordinates):
Ca 0.1773 0.2500 0.4217
Ca 0.8227 0.7500 0.5783
Te 0.1906 0.2500 0.9262
Te 0.8094 0.7500 0.0738
Cl 0.4266 0.7500 0.6628
Cl 0.5734 0.2500 0.3372
O 0.0029 0.2500 0.6655
O 0.0207 0.2500 0.0989
O 0.9793 0.7500 0.9011
O 0.9971 0.7500 0.3345

(4)
Compound: Ca2Ti2Cl2O5
Source: the Alexandria database
Functional: GGA-PBE
Structure: relaxed

Calculated values
space-group type: I4/mmm, No. 139
crystal system: tetragonal
raw formation energy: -2912 meV per atom
DFT total energy: -80.31 eV per formula unit

a = 13.1257 Å, b = 13.1257 Å, c = 13.1257 Å
α = 163.56°, β = 163.56°, γ = 23.33°
Atoms (fractional coordinates):
Ca 0.1481 0.1481 0.0000
Ca 0.8519 0.8519 0.0000
Ti 0.4296 0.4296 0.0000
Ti 0.5704 0.5704 0.0000
Cl 0.3042 0.3042 0.0000
Cl 0.6958 0.6958 0.0000
O 0.0918 0.5918 0.5000
O 0.4082 0.9082 0.5000
O 0.5000 0.5000 0.0000
O 0.5918 0.0918 0.5000
O 0.9082 0.4082 0.5000

Question: What is the formula in the first record?
Answer: Ca2SiCl2O3

Question: Look up the raw formation energy of the first one.
Answer: -2776 meV per atom

Question: Which value of raw formation energy does entry 4 give?
Answer: -2912 meV per atom

Question: Which formula does entry 2 have?
Answer: Ca2SnCl2O2